# PBE-GGA Rb3Pm2HfS6, optimized geometry
data_Rb3Pm2HfS6
_symmetry_space_group_name_H-M 'P 1'
_symmetry_Int_Tables_number 1
_cell_length_a 6.9999
_cell_length_b 6.9999
_cell_length_c 8.0601
_cell_angle_alpha 98.36
_cell_angle_beta 98.36
_cell_angle_gamma 120.00
loop_
_symmetry_equiv_pos_as_xyz
'x,y,z'
loop_
_atom_site_label
_atom_site_type_symbol
_atom_site_fract_x
_atom_site_fract_y
_atom_site_fract_z
Rb1 Rb 0.0000 0.0000 0.0000
Rb2 Rb 0.3291 0.6709 0.0000
Rb3 Rb 0.6709 0.3291 0.0000
Pm1 Pm 0.1663 0.8337 0.5000
Pm2 Pm 0.8337 0.1663 0.5000
Hf1 Hf 0.5000 0.5000 0.5000
S1 S 0.1269 0.4356 0.3071
S2 S 0.2566 0.2566 0.6941
S3 S 0.4356 0.1269 0.3071
S4 S 0.5644 0.8731 0.6929
S5 S 0.7434 0.7434 0.3059
S6 S 0.8731 0.5644 0.6929
# - E_form (uncorrected) (meV/atom) = -1674

# PBE-GGA Rb3Pm2HfSe6, optimized geometry
data_Rb3Pm2HfSe6
_symmetry_space_group_name_H-M 'P 1'
_symmetry_Int_Tables_number 1
_cell_length_a 7.2708
_cell_length_b 7.2708
_cell_length_c 8.3914
_cell_angle_alpha 98.34
_cell_angle_beta 98.34
_cell_angle_gamma 120.01
loop_
_symmetry_equiv_pos_as_xyz
'x,y,z'
loop_
_atom_site_label
_atom_site_type_symbol
_atom_site_fract_x
_atom_site_fract_y
_atom_site_fract_z
Rb1 Rb 0.0000 0.0000 0.0000
Rb2 Rb 0.3280 0.6720 0.0000
Rb3 Rb 0.6720 0.3280 0.0000
Pm1 Pm 0.1661 0.8339 0.5000
Pm2 Pm 0.8339 0.1661 0.5000
Hf1 Hf 0.5000 0.5000 0.5000
Se1 Se 0.1240 0.4345 0.3035
Se2 Se 0.2564 0.2564 0.6982
Se3 Se 0.4345 0.1240 0.3035
Se4 Se 0.5655 0.8760 0.6965
Se5 Se 0.7436 0.7436 0.3018
Se6 Se 0.8760 0.5655 0.6965
# - E_form (uncorrected) (meV/atom) = -1551

The highest E_form (uncorrected) belongs to which entry?
Rb3Pm2HfSe6

Repeat the first record exactly.
# PBE-GGA Rb3Pm2HfS6, optimized geometry
data_Rb3Pm2HfS6
_symmetry_space_group_name_H-M 'P 1'
_symmetry_Int_Tables_number 1
_cell_length_a 6.9999
_cell_length_b 6.9999
_cell_length_c 8.0601
_cell_angle_alpha 98.36
_cell_angle_beta 98.36
_cell_angle_gamma 120.00
loop_
_symmetry_equiv_pos_as_xyz
'x,y,z'
loop_
_atom_site_label
_atom_site_type_symbol
_atom_site_fract_x
_atom_site_fract_y
_atom_site_fract_z
Rb1 Rb 0.0000 0.0000 0.0000
Rb2 Rb 0.3291 0.6709 0.0000
Rb3 Rb 0.6709 0.3291 0.0000
Pm1 Pm 0.1663 0.8337 0.5000
Pm2 Pm 0.8337 0.1663 0.5000
Hf1 Hf 0.5000 0.5000 0.5000
S1 S 0.1269 0.4356 0.3071
S2 S 0.2566 0.2566 0.6941
S3 S 0.4356 0.1269 0.3071
S4 S 0.5644 0.8731 0.6929
S5 S 0.7434 0.7434 0.3059
S6 S 0.8731 0.5644 0.6929
# - E_form (uncorrected) (meV/atom) = -1674

Which of these has the lowest E_form (uncorrected)?
Rb3Pm2HfS6